Density functional theory data (PBE with a Hubbard U) for a relaxed CsMnF3 crystal.

a = 5.286 Å, b = 6.092 Å, c = 6.363 Å
α = 90.00°, β = 97.31°, γ = 90.00°
Last column: magnetic moment on the atom in μB.
Positions (direct):
Cs: 0.170 0.250 0.384  0.00
Cs: 0.830 0.750 0.616  0.00
Mn: 0.565 0.250 0.923  4.66
Mn: 0.435 0.750 0.077  4.66
F: 0.716 0.499 0.132  0.05
F: 0.284 0.501 0.868  0.05
F: 0.716 0.001 0.132  0.05
F: 0.284 0.999 0.868  0.05
F: 0.709 0.250 0.645  0.04
F: 0.291 0.750 0.355  0.04

Density of states at the Fermi level = 0.00 states/eV per cell
Calculated total energy = -5.461 eV per atom